Entry 1:
NaP2F: optimized geometry, GGA-PBE.

a b c (Å): 4.0836 4.0836 23.5101
angles (deg): 90.00 90.00 90.00
Last column: nearest neighbours and their distance in Å.
Space group I4_1/amd (No. 141, origin choice 2)
Symmetry-distinct sites (fractional):
Na 0.0000 0.2500 0.3750 x4  4 F 2.89
P 0.0000 0.0000 0.0000 x8  2 P 2.04
F 0.0000 0.2500 0.8750 x4  4 Na 2.89, 4 P 3.11

Computed properties:
* total DFT energy (no corrections): -3.94 eV/atom
* theoretical density: 1.76 g cm⁻³
* uncorrected formation energy: -1.731 eV per formula unit
* relative energy among the computed polymorphs: 0 meV per atom

---

Entry 2:
Na2PF: optimized geometry, GGA-PBE.

a b c (Å): 6.5273 6.5273 7.6760
angles (deg): 90.00 90.00 90.00
Last column: nearest neighbours and their distance in Å.
Space group I-42d (No. 122)
Symmetry-distinct sites (fractional):
Na 0.1579 0.7500 0.1250 x8  2 F 2.16
P 0.0000 0.0000 0.5000 x4  4 Na 2.93
F 0.0000 0.0000 0.0000 x4  4 Na 2.16

Computed properties:
* total DFT energy (no corrections): -3.47 eV/atom
* theoretical density: 1.95 g cm⁻³
* uncorrected formation energy: -3.963 eV per formula unit
* relative energy among the computed polymorphs: 0 meV per atom

---

Entry 3:
Na3PF: optimized geometry, GGA-PBE.

a b c (Å): 4.5453 4.5453 4.5453
angles (deg): 90.00 90.00 90.00
Last column: nearest neighbours and their distance in Å.
Space group Pm-3m (No. 221)
Symmetry-distinct sites (fractional):
Na 0.0000 0.0000 0.5000 x3  2 F 2.27
P 0.5000 0.5000 0.5000 x1  12 Na 3.21
F 0.0000 0.0000 0.0000 x1  6 Na 2.27

Computed properties:
* total DFT energy (no corrections): -3.38 eV/atom
* theoretical density: 2.10 g cm⁻³
* uncorrected formation energy: -5.668 eV per formula unit
* relative energy among the computed polymorphs: 0 meV per atom

---

Entry 4:
NaPF2: optimized geometry, GGA-PBE.

a b c (Å): 3.1041 3.1041 19.6851
angles (deg): 90.00 90.00 120.00
Last column: nearest neighbours and their distance in Å.
Space group R-3m (No. 166, hexagonal axes)
Symmetry-distinct sites (fractional):
Na 0.0000 0.0000 0.0000 x3  6 F 2.24
P 0.0000 0.0000 0.5000 x3  2 F 1.94
F 0.0000 0.0000 0.4014 x6  1 P 1.94

Computed properties:
* total DFT energy (no corrections): -4.35 eV/atom
* theoretical density: 2.79 g cm⁻³
* uncorrected formation energy: -6.939 eV per formula unit
* relative energy among the computed polymorphs: 0 meV per atom

---

Entry 5:
Na2PF: optimized geometry, GGA-PBE.

a b c (Å): 6.7561 6.7561 6.7561
angles (deg): 90.00 90.00 90.00
Last column: nearest neighbours and their distance in Å.
Space group Fm-3m (No. 225)
Symmetry-distinct sites (fractional):
Na 0.2500 0.2500 0.2500 x8  4 F 2.93, 4 P 2.93
P 0.0000 0.0000 0.0000 x4  8 Na 2.93
F 0.0000 0.0000 0.5000 x4  8 Na 2.93

Computed properties:
* total DFT energy (no corrections): -3.16 eV/atom
* theoretical density: 2.07 g cm⁻³
* uncorrected formation energy: -2.740 eV per formula unit
* relative energy among the computed polymorphs: 306 meV per atom

---

Entry 6:
NaPF6: optimized geometry, GGA-PBE.

a b c (Å): 5.2575 8.9265 5.8548
angles (deg): 90.00 91.92 90.00
Last column: nearest neighbours and their distance in Å.
Space group C2/m (No. 12)
Symmetry-distinct sites (fractional):
Na 0.0000 0.0000 0.0000 x2  6 F 2.36-2.38
P 0.0000 0.0000 0.5000 x2  6 F 1.64
F 0.1280 0.1291 0.6674 x8  1 P 1.64
F 0.2480 0.5000 0.6583 x4  1 P 1.64

Computed properties:
* total DFT energy (no corrections): -4.89 eV/atom
* theoretical density: 2.03 g cm⁻³
* uncorrected formation energy: -21.175 eV per formula unit

---

Entry 7:
NaP2F: optimized geometry, GGA-PBE.

a b c (Å): 6.3193 6.3193 6.3193
angles (deg): 90.00 90.00 90.00
Last column: nearest neighbours and their distance in Å.
Space group Fm-3m (No. 225)
Symmetry-distinct sites (fractional):
Na 0.0000 0.0000 0.0000 x4  8 P 2.74
P 0.2500 0.2500 0.2500 x8  4 F 2.74, 4 Na 2.74
F 0.0000 0.0000 0.5000 x4  8 P 2.74

Computed properties:
* total DFT energy (no corrections): -3.21 eV/atom
* theoretical density: 2.74 g cm⁻³
* uncorrected formation energy: 1.161 eV per formula unit
* relative energy among the computed polymorphs: 723 meV per atom

---

Entry 8:
NaPF3: optimized geometry, GGA-PBE.

a b c (Å): 4.0635 4.0635 4.0635
angles (deg): 90.00 90.00 90.00
Last column: nearest neighbours and their distance in Å.
Space group Pm-3m (No. 221)
Symmetry-distinct sites (fractional):
Na 0.0000 0.0000 0.0000 x1  6 F 2.03
P 0.5000 0.5000 0.5000 x1  12 F 2.87
F 0.0000 0.0000 0.5000 x3  2 Na 2.03

Computed properties:
* total DFT energy (no corrections): -3.39 eV/atom
* theoretical density: 2.75 g cm⁻³
* uncorrected formation energy: -4.592 eV per formula unit

---

Entry 9:
NaPF3: optimized geometry, GGA-PBE.

a b c (Å): 4.2611 4.2611 4.2611
angles (deg): 90.00 90.00 90.00
Last column: nearest neighbours and their distance in Å.
Space group Pm-3m (No. 221)
Symmetry-distinct sites (fractional):
Na 0.0000 0.0000 0.0000 x1  12 F 3.01
P 0.5000 0.5000 0.5000 x1  6 F 2.13
F 0.0000 0.5000 0.5000 x3  2 P 2.13

Computed properties:
* total DFT energy (no corrections): -4.03 eV/atom
* theoretical density: 2.38 g cm⁻³
* uncorrected formation energy: -7.801 eV per formula unit

---

Entry 10:
NaPF2: optimized geometry, GGA-PBE.

a b c (Å): 6.0904 6.0904 6.0904
angles (deg): 90.00 90.00 90.00
Last column: nearest neighbours and their distance in Å.
Space group Fm-3m (No. 225)
Symmetry-distinct sites (fractional):
Na 0.0000 0.0000 0.0000 x4  8 F 2.64
P 0.0000 0.0000 0.5000 x4  8 F 2.64
F 0.2500 0.2500 0.2500 x8  4 Na 2.64, 4 P 2.64

Computed properties:
* total DFT energy (no corrections): -3.47 eV/atom
* theoretical density: 2.70 g cm⁻³
* uncorrected formation energy: -3.403 eV per formula unit
* relative energy among the computed polymorphs: 884 meV per atom

---

Entry 11:
NaPF6: optimized geometry, GGA-PBE.

a b c (Å): 7.8733 7.8733 7.8733
angles (deg): 90.00 90.00 90.00
Last column: nearest neighbours and their distance in Å.
Space group Fm-3m (No. 225)
Symmetry-distinct sites (fractional):
Na 0.0000 0.0000 0.0000 x4  6 F 2.30
P 0.0000 0.0000 0.5000 x4  6 F 1.64
F 0.0000 0.0000 0.2923 x24  1 P 1.64

Computed properties:
* total DFT energy (no corrections): -4.97 eV/atom
* theoretical density: 2.29 g cm⁻³
* uncorrected formation energy: -21.791 eV per formula unit

---

Entry 12:
Na4PF2: optimized geometry, GGA-PBE.

a b c (Å): 5.3371 5.3371 13.0228
angles (deg): 90.00 90.00 90.00
Last column: nearest neighbours and their distance in Å.
Space group I4/mmm (No. 139)
Symmetry-distinct sites (fractional):
Na 0.0000 0.0000 0.2091 x4  1 F 2.08
Na 0.0000 0.5000 0.0000 x4  2 P 2.67
P 0.0000 0.0000 0.0000 x2  6 Na 2.67-2.72
F 0.0000 0.0000 0.3692 x4  1 Na 2.08

Computed properties:
* total DFT energy (no corrections): -3.22 eV/atom
* theoretical density: 1.44 g cm⁻³
* uncorrected formation energy: -8.122 eV per formula unit

---

> Look up the uncorrected formation energy of the sixth one.

-21.175 eV per formula unit

---

> theoretical density of number 3 (Na3PF)?

2.10 g cm⁻³

---

> Among the records above, which one has the highest theoretical density?

number 4

---

> Among the records above, which one has the lowest total DFT energy (no corrections)?

number 11